# 1
The following is a DFT calculation (GGA-PBE) of a geometry-optimized Re2ClO structure.

## Properties
SG: P3m1 (156)
crystal system: trigonal

a = 3.863 Å, b = 3.863 Å, c = 5.616 Å
α = 90.00°, β = 90.00°, γ = 120.00°
Atoms (fractional coordinates):
1 Re 0.000 0.000 0.000
2 Re 0.333 0.667 0.161
3 Cl 0.000 0.000 0.584
4 O 0.667 0.333 0.180

# 2
The following is a DFT calculation (GGA-PBE) of a geometry-optimized TmReClO4 structure.

## Properties
SG: Pmn2_1 (31)
crystal system: orthorhombic

a = 5.704 Å, b = 9.210 Å, c = 3.736 Å
α = 90.00°, β = 90.00°, γ = 90.00°
Atoms (fractional coordinates):
1 Tm 0.000 0.198 0.000
2 Tm 0.500 0.802 0.500
3 Re 0.000 0.634 0.999
4 Re 0.500 0.366 0.499
5 Cl 0.000 0.973 0.501
6 Cl 0.500 0.027 0.001
7 O 0.000 0.440 0.999
8 O 0.000 0.638 0.499
9 O 0.225 0.258 0.499
10 O 0.275 0.742 0.999
11 O 0.500 0.362 0.999
12 O 0.500 0.560 0.499
13 O 0.725 0.742 0.999
14 O 0.775 0.258 0.499

# 3
The following is a DFT calculation (GGA-PBE) of a geometry-optimized TaSCl7O structure.

## Properties
SG: Pnma (62)
crystal system: orthorhombic

a = 16.668 Å, b = 9.289 Å, c = 7.298 Å
α = 90.00°, β = 90.00°, γ = 90.00°
Atoms (fractional coordinates):
1 Ta 0.134 0.250 0.001
2 Ta 0.366 0.750 0.501
3 Ta 0.634 0.250 0.499
4 Ta 0.866 0.750 0.999
5 S 0.158 0.750 0.327
6 S 0.342 0.250 0.827
7 S 0.658 0.750 0.173
8 S 0.842 0.250 0.673
9 Cl 0.018 0.250 0.159
10 Cl 0.078 0.250 0.705
11 Cl 0.120 0.580 0.486
12 Cl 0.120 0.920 0.486
13 Cl 0.148 0.000 0.978
14 Cl 0.148 0.500 0.978
15 Cl 0.218 0.250 0.255
16 Cl 0.282 0.750 0.755
17 Cl 0.352 0.000 0.478
18 Cl 0.352 0.500 0.478
19 Cl 0.380 0.080 0.986
20 Cl 0.380 0.420 0.986
21 Cl 0.422 0.750 0.205
22 Cl 0.482 0.750 0.659
23 Cl 0.518 0.250 0.341
24 Cl 0.578 0.250 0.795
25 Cl 0.620 0.580 0.014
26 Cl 0.620 0.920 0.014
27 Cl 0.648 0.000 0.522
28 Cl 0.648 0.500 0.522
29 Cl 0.718 0.250 0.245
30 Cl 0.782 0.750 0.745
31 Cl 0.852 0.000 0.022
32 Cl 0.852 0.500 0.022
33 Cl 0.880 0.080 0.514
34 Cl 0.880 0.420 0.514
35 Cl 0.922 0.750 0.295
36 Cl 0.982 0.750 0.841
37 O 0.247 0.750 0.333
38 O 0.253 0.250 0.833
39 O 0.747 0.750 0.167
40 O 0.753 0.250 0.667

Quick rundown of calculated density, same order as above: 9.70, 7.69, 2.80 g/cm³
Quick rundown of total energy, same order as above: -30.1, -107.1, -177.1 eV for the cell shown